DFT (PBE) results for an optimized crystal structure of InGeSeN2.

The raw formation energy is 0.932 eV/atom. As for the density of states at the Fermi level: 0.484 states/eV per atom. Its space group is No. 123. The calculated density is 5.76 g cm⁻³.

The structure in POSCAR format:
```
InGeSeN2
1.0
3.8055 0.0000 0.0000
0.0000 3.8055 0.0000
0.0000 0.0000 5.8618
N In Ge Se
2 1 1 1
Cartesian
0.0000 1.9027 0.0000 N
1.9027 0.0000 0.0000 N
1.9027 1.9027 2.9309 In
0.0000 0.0000 0.0000 Ge
0.0000 0.0000 2.9309 Se
```

DFT (PBE) results for an optimized crystal structure of InGeSeN2.

The raw formation energy is 1.366 eV/atom. As for the density of states at the Fermi level: 0.427 states/eV per atom. Its space group is No. 123. The calculated density is 4.50 g cm⁻³.

The structure in POSCAR format:
```
InGeSeN2
1.0
4.3003 0.0000 0.0000
0.0000 4.3003 0.0000
0.0000 0.0000 5.8776
N In Se Ge
2 1 1 1
Cartesian
2.1501 0.0000 0.0000 N
0.0000 2.1501 0.0000 N
0.0000 0.0000 0.0000 In
0.0000 0.0000 2.9388 Se
2.1501 2.1501 2.9388 Ge
```

DFT (PBE) results for an optimized crystal structure of In2TcGeN.

The raw formation energy is 1.877 eV/atom. As for the density of states at the Fermi level: 0.772 states/eV per atom. Its space group is No. 123. The calculated density is 5.37 g cm⁻³.

The structure in POSCAR format:
```
In2TcGeN
1.0
5.2016 0.0000 0.0000
0.0000 4.7354 0.0000
0.0000 0.0000 5.2016
In Ge N Tc
2 1 1 1
Cartesian
2.6008 0.0000 0.0000 In
0.0000 0.0000 2.6008 In
0.0000 0.0000 0.0000 Ge
2.6008 2.3677 2.6008 N
0.0000 2.3677 0.0000 Tc
```

DFT (PBE) results for an optimized crystal structure of InGeTeN2.

The raw formation energy is 1.134 eV/atom. As for the density of states at the Fermi level: 0.571 states/eV per atom. Its space group is No. 123. The calculated density is 6.12 g cm⁻³.

The structure in POSCAR format:
```
InGeTeN2
1.0
-2.2509 3.0909 -1.1713
-3.2879 -2.2391 0.4095
-0.4941 1.7382 5.5365
N Ge In Te
2 1 1 1
Cartesian
-1.1254 1.5455 -0.5856 N
-1.6440 -1.1196 0.2048 N
0.0000 0.0000 0.0000 Ge
-3.0165 1.2950 2.3874 In
-0.2471 0.8691 2.7683 Te
```

DFT (PBE) results for an optimized crystal structure of InGeTeN2.

The raw formation energy is 1.411 eV/atom. As for the density of states at the Fermi level: 0.364 states/eV per atom. Its space group is No. 123. The calculated density is 5.03 g cm⁻³.

The structure in POSCAR format:
```
InGeTeN2
1.0
-2.1262 3.2998 -1.7615
-3.0209 -0.3199 3.0471
3.1346 3.8970 3.5167
N Ge Te In
2 1 1 1
Cartesian
-1.5104 -0.1599 1.5235 N
-1.0631 1.6499 -0.8808 N
-1.0063 3.4385 2.4011 Ge
1.5673 1.9485 1.7584 Te
0.0000 0.0000 0.0000 In
```

DFT (PBE) results for an optimized crystal structure of ThInGeN.

The raw formation energy is -0.832 eV/atom. As for the density of states at the Fermi level: 0.231 states/eV per atom. Its space group is No. 129. The calculated density is 8.51 g cm⁻³.

The structure in POSCAR format:
```
ThInGeN
1.0
-1.6833 -3.4290 -1.9159
2.2962 -2.5502 2.5468
-6.9055 -0.0570 6.1691
In Ge Th N
2 2 2 2
Cartesian
-3.1463 -3.0181 3.3999 In
-3.4528 -0.0285 3.0845 In
-5.6923 -1.7546 3.3754 Ge
-0.9067 -1.2921 3.1091 Ge
-4.9522 -1.3255 6.7231 Th
-1.6469 -1.7211 -0.2386 Th
0.0000 0.0000 0.0000 N
0.3065 -2.9896 0.3154 N
```

DFT (PBE) results for an optimized crystal structure of Tl2InGeN.

The raw formation energy is 0.665 eV/atom. As for the density of states at the Fermi level: 0.366 states/eV per atom. Its space group is No. 123. The calculated density is 8.45 g cm⁻³.

The structure in POSCAR format:
```
Tl2InGeN
1.0
-3.8070 -0.2877 3.6967
-0.9050 -3.9611 -1.2403
3.5309 -1.8990 3.4884
Tl In Ge N
2 1 1 1
Cartesian
1.7654 -0.9495 1.7442 Tl
-1.9035 -0.1439 1.8484 Tl
-0.4525 -1.9805 -0.6201 In
-0.5906 -3.0739 2.9724 Ge
0.0000 0.0000 0.0000 N
```

DFT (PBE) results for an optimized crystal structure of ZnIn2GeN4.

The raw formation energy is -0.011 eV/atom. Its space group is No. 121. The calculated density is 6.36 g cm⁻³.

The structure in POSCAR format:
```
ZnIn2GeN4
1.0
-2.1555 -2.4693 -3.5426
4.2349 -0.4347 -2.2739
-0.2083 -2.6084 5.2326
Ge N In Zn
1 4 2 1
Cartesian
1.0397 -1.4522 -2.9081 Ge
0.1657 -2.4894 3.1578 N
1.1292 -3.8350 0.4626 N
2.7041 -1.8795 -2.0998 N
-0.2567 -2.8222 -2.6876 N
2.5332 -2.2478 0.0254 In
-0.6620 -3.2651 -0.6090 In
0.0001 -0.0003 0.0002 Zn
```

DFT (PBE) results for an optimized crystal structure of NaInGe.

As for the density of states at the Fermi level: 0.068 states/eV per atom. Its space group is No. 38. The calculation puts the formation enthalpy at 0 K at -1.8 kcal/mol of atoms. The calculated density is 4.85 g cm⁻³.

The structure in POSCAR format:
```
NaInGe
1.0
-0.6656 -5.2825 -5.3792
4.3676 -1.4439 0.8780
-3.6102 -1.9019 2.3138
Na Ge In
2 2 2
Cartesian
-1.2522 -5.4882 -1.8694 Na
-0.9158 -2.8541 0.8266 Na
1.6210 -3.6576 -0.6282 Ge
1.8626 -1.7426 1.3217 Ge
-0.1623 -2.6513 -2.5888 In
-0.4373 -4.8354 -4.8131 In
```

DFT (PBE) results for an optimized crystal structure of NaInGe.

As for the density of states at the Fermi level: 0.282 states/eV per atom. Its space group is No. 63. The calculation puts the formation enthalpy at 0 K at -0.3 kcal/mol of atoms. The calculated density is 4.72 g cm⁻³.

The structure in POSCAR format:
```
NaInGe
1.0
4.3899 0.0000 0.0000
0.0000 6.9063 -2.4421
0.0000 6.9063 2.4421
In Na Ge
2 2 2
Cartesian
3.2925 8.0303 0.0242 In
1.0975 5.7822 0.0242 In
3.2925 3.3303 0.0242 Na
1.0975 10.4822 0.0242 Na
3.2925 12.9900 0.0240 Ge
1.0975 0.8225 0.0240 Ge
```

DFT (PBE) results for an optimized crystal structure of NaInGe2.

As for the density of states at the Fermi level: 0.598 states/eV per atom. Its space group is No. 122. The calculation puts the formation enthalpy at 0 K at 4.5 kcal/mol of atoms. The calculated density is 4.86 g cm⁻³.

The structure in POSCAR format:
```
NaInGe2
1.0
-6.2009 -0.0131 5.2471
-5.1435 -1.5910 -6.0824
-5.2975 -3.6790 0.0180
Na In Ge
2 2 4
Cartesian
-5.6722 -0.8020 -0.4177 Na
-8.0566 -3.0360 -3.2411 Na
0.0000 0.0000 0.0000 In
-8.5853 -2.2470 2.4237 In
-6.0705 -1.1273 2.7163 Ge
-14.0883 -4.2212 -0.9407 Ge
-5.0865 -1.9153 -3.3338 Ge
-8.0384 -3.3024 -0.0765 Ge
```

DFT (PBE) results for an optimized crystal structure of NaIn3Ge3.

As for the density of states at the Fermi level: 0.762 states/eV per atom. Its space group is No. 223. The calculation puts the formation enthalpy at 0 K at 4.3 kcal/mol of atoms. The calculated density is 4.34 g cm⁻³.

The structure in POSCAR format:
```
NaIn3Ge3
1.0
7.6493 0.0000 0.0000
0.0000 7.6493 0.0000
0.0000 0.0000 7.6493
In Ge Na
6 6 2
Cartesian
0.0000 5.7370 3.8247 In
3.8247 0.0000 5.7370 In
3.8247 0.0000 1.9123 In
5.7370 3.8247 0.0000 In
1.9123 3.8247 0.0000 In
0.0000 1.9123 3.8247 In
0.0000 3.8247 1.9123 Ge
5.7370 0.0000 3.8247 Ge
3.8247 5.7370 0.0000 Ge
0.0000 3.8247 5.7370 Ge
3.8247 1.9123 0.0000 Ge
1.9123 0.0000 3.8247 Ge
3.8247 3.8247 3.8247 Na
0.0000 0.0000 0.0000 Na
```

Please write out number 1 again, unchanged.
DFT (PBE) results for an optimized crystal structure of InGeSeN2.

The raw formation energy is 0.932 eV/atom. As for the density of states at the Fermi level: 0.484 states/eV per atom. Its space group is No. 123. The calculated density is 5.76 g cm⁻³.

The structure in POSCAR format:
```
InGeSeN2
1.0
3.8055 0.0000 0.0000
0.0000 3.8055 0.0000
0.0000 0.0000 5.8618
N In Ge Se
2 1 1 1
Cartesian
0.0000 1.9027 0.0000 N
1.9027 0.0000 0.0000 N
1.9027 1.9027 2.9309 In
0.0000 0.0000 0.0000 Ge
0.0000 0.0000 2.9309 Se
```

calculated density of number 3 (In2TcGeN)?
5.37 g cm⁻³

What is the calculated density in the twelfth record?
4.34 g cm⁻³